A plane-wave DFT calculation with GGA-PBE was carried out for a relaxed PrCu3Ge crystal.

Cell: 5.802 5.802 5.791 Å, 90.00 90.00 115.12°
Sites, in units of the cell vectors:
1 Pr 0.229 0.771 0.750
2 Pr 0.771 0.229 0.250
3 Cu 0.095 0.905 0.250
4 Cu 0.290 0.290 0.000
5 Cu 0.290 0.290 0.500
6 Cu 0.710 0.710 0.000
7 Cu 0.710 0.710 0.500
8 Cu 0.905 0.095 0.750
9 Ge 0.344 0.656 0.250
10 Ge 0.656 0.344 0.750

Calculated values
Fermi-level density of states: 6.9 states/eV per cell
ΔE_f: -0.327 eV/atom
M_tot: 0.0 μB/cell